VASP calculation (PBE-GGA) on crystalline YAgTe4 at its relaxed geometry.

Output
- Formation energy (no corrections): 0.165 eV per atom
- D(E_F): 3.65 states/eV/f.u.
- Total magnetization: 0.000 μB/f.u.

Cell lengths 8.9153, 8.9153, 8.9153 Å; angles 90.00, 90.00, 90.00 degrees
Last column: nearest neighbours and their distance in Å.
Space group F-43m (No. 216)
Symmetry-distinct sites (fractional):
Y: 0.0000 0.0000 0.0000 (multiplicity 4)  12 Te 3.70, 4 Ag 3.86
Ag: 0.2500 0.2500 0.7500 (multiplicity 4)  12 Te 3.70, 4 Y 3.86
Te: 0.1248 0.1248 0.3752 (multiplicity 16)  6 Te 3.15-3.16